No. 1
A relaxed structure of HfPaHg, computed with PBE-GGA.

Unit cell a=6.932 b=6.932 c=6.932 alpha=90.00 beta=90.00 gamma=90.00
Space group F-43m (No. 216)
Asymmetric unit:
1 Hf 0.000 0.000 0.000 [4 per cell]
2 Pa 0.000 0.000 0.500 [4 per cell]
3 Hg 0.250 0.250 0.250 [4 per cell]

## Properties
final energy	-5.901	eV per atom
E_form	682	meV/atom


No. 2
A relaxed structure of Hf2HgPb3, computed with PBE-GGA.

Unit cell a=3.744 b=3.744 c=10.444 alpha=90.00 beta=90.00 gamma=90.00
Space group P4mm (No. 99)
Asymmetric unit:
1 Hf 0.000 0.000 0.000 [1 per cell]
2 Hf 0.500 0.500 0.493 [1 per cell]
3 Hg 0.000 0.000 0.342 [1 per cell]
4 Pb 0.000 0.000 0.661 [1 per cell]
5 Pb 0.500 0.500 0.173 [1 per cell]
6 Pb 0.500 0.500 0.844 [1 per cell]

## Properties
final energy	-4.991	eV per atom


No. 3
A relaxed structure of Hf2HgPb, computed with PBE-GGA.

Unit cell a=7.268 b=7.268 c=7.268 alpha=90.00 beta=90.00 gamma=90.00
Space group F-43m (No. 216)
Asymmetric unit:
1 Hf 0.000 0.000 0.000 [4 per cell]
2 Hf 0.250 0.250 0.250 [4 per cell]
3 Hg 0.250 0.250 0.750 [4 per cell]
4 Pb 0.000 0.000 0.500 [4 per cell]

## Properties
final energy	-5.476	eV per atom


No. 4
A relaxed structure of Hf2Hg3Pb, computed with PBE-GGA.

Unit cell a=3.564 b=3.564 c=10.466 alpha=90.00 beta=90.00 gamma=90.00
Space group P4mm (No. 99)
Asymmetric unit:
1 Hf 0.000 0.000 0.000 [1 per cell]
2 Hf 0.500 0.500 0.477 [1 per cell]
3 Hg 0.000 0.000 0.324 [1 per cell]
4 Hg 0.500 0.500 0.162 [1 per cell]
5 Hg 0.500 0.500 0.845 [1 per cell]
6 Pb 0.000 0.000 0.665 [1 per cell]

## Properties
final energy	-3.904	eV per atom


No. 5
A relaxed structure of HfHgPb2, computed with PBE-GGA.

Unit cell a=7.476 b=7.476 c=7.476 alpha=90.00 beta=90.00 gamma=90.00
Space group F-43m (No. 216)
Asymmetric unit:
1 Hf 0.000 0.000 0.000 [4 per cell]
2 Hg 0.250 0.250 0.750 [4 per cell]
3 Pb 0.000 0.000 0.500 [4 per cell]
4 Pb 0.250 0.250 0.250 [4 per cell]

## Properties
final energy	-4.073	eV per atom


No. 6
A relaxed structure of Hf2HgPd, computed with PBE-GGA.

Unit cell a=6.779 b=6.779 c=6.779 alpha=90.00 beta=90.00 gamma=90.00
Space group F-43m (No. 216)
Asymmetric unit:
1 Hf 0.000 0.000 0.000 [4 per cell]
2 Hf 0.250 0.250 0.250 [4 per cell]
3 Hg 0.250 0.250 0.750 [4 per cell]
4 Pd 0.000 0.000 0.500 [4 per cell]

## Properties
final energy	-6.370	eV per atom
E_form	-24	meV/atom


No. 7
A relaxed structure of HfHgPd2, computed with PBE-GGA.

Unit cell a=6.570 b=6.570 c=6.570 alpha=90.00 beta=90.00 gamma=90.00
Space group F-43m (No. 216)
Asymmetric unit:
1 Hf 0.000 0.000 0.000 [4 per cell]
2 Hg 0.250 0.250 0.250 [4 per cell]
3 Pd 0.000 0.000 0.500 [4 per cell]
4 Pd 0.250 0.250 0.750 [4 per cell]

## Properties
final energy	-5.514	eV per atom
E_form	-363	meV/atom


No. 8
A relaxed structure of HfHgPd2, computed with PBE-GGA.

Unit cell a=6.570 b=6.570 c=6.570 alpha=90.00 beta=90.00 gamma=90.00
Space group F-43m (No. 216)
Asymmetric unit:
1 Hf 0.000 0.000 0.000 [4 per cell]
2 Hg 0.250 0.250 0.750 [4 per cell]
3 Pd 0.000 0.000 0.500 [4 per cell]
4 Pd 0.250 0.250 0.250 [4 per cell]

## Properties
final energy	-5.514	eV per atom
E_form	-363	meV/atom


Number 1: mass density 12.17 g cm⁻³. Number 2: mass density 13.38 g cm⁻³. Number 3: mass density 13.23 g cm⁻³. Number 4: mass density 14.57 g cm⁻³. Number 5: mass density 12.61 g cm⁻³. Number 6: mass density 14.16 g cm⁻³. Number 7: mass density 13.86 g cm⁻³. Number 8: mass density 13.86 g cm⁻³.